K3WO | PBE with a Hubbard U | relaxed

a = 5.461 Å, b = 5.461 Å, c = 5.461 Å
α = 90.00°, β = 90.00°, γ = 90.00°
Atoms (fractional coordinates):
1 K 0.000 0.000 0.500
2 K 0.000 0.500 0.000
3 K 0.500 0.000 0.000
4 W 0.500 0.500 0.500
5 O 0.000 0.000 0.000

As for the space group: Pm-3m (221). The density is 3.2 Mg/m³. Its total energy is -2.96 eV/atom. The polymorph energy (0 for the lowest one) comes out at 0 meV/atom. Its calculated volume is 162.8 Å³/cell.